1.
GGA-PBEsol BeTcBr2, optimized geometry; calculated volume = 19.2 Å³ per atom; magnetic moment = 0.0 Bohr magnetons per cell; DOS(E_F) = 1.7 states/eV/f.u.; total energy = -4.69 eV/atom; energy relative to the lowest polymorph listed for this composition = 0 meV/atom
1.0
3.2114 0.0000 0.0000
0.0000 3.4174 -0.3185
-1.6057 -1.0247 7.1008
Be Tc Br
1 1 2
Direct
0.0000 0.5000 0.0000
0.5000 0.0000 0.0000
0.1418 0.1388 0.2836
0.8582 0.8612 0.7164

=====

2.
GGA-PBEsol Be2TcBr, optimized geometry; calculated volume = 14.5 Å³ per atom; magnetic moment = 0.0 Bohr magnetons per cell; DOS(E_F) = 3.0 states/eV/f.u.; total energy = -4.71 eV/atom; energy relative to the lowest polymorph listed for this composition = 303 meV/atom
1.0
-2.0596 -0.0874 -2.4080
2.6874 -3.3036 -0.0923
-2.9622 -2.4121 2.6211
Be Tc Br
2 1 1
Direct
0.2034 0.4068 0.3821
0.7966 0.5932 0.6179
0.5000 0.0000 0.5000
0.0000 0.0000 0.0000

=====

3.
GGA-PBEsol Be2TcBr, optimized geometry; calculated volume = 14.3 Å³ per atom; magnetic moment = 0.0 Bohr magnetons per cell; DOS(E_F) = 3.0 states/eV/f.u.; total energy = -5.01 eV/atom; energy relative to the lowest polymorph listed for this composition = 0 meV/atom
1.0
-1.2044 2.5403 1.9458
-0.9324 -3.2304 0.6364
4.4092 -0.5673 3.4698
Be Tc Br
2 1 1
Direct
0.0411 0.0821 0.9506
0.3742 0.7483 0.9025
0.7087 0.4175 0.1481
0.3760 0.7521 0.4988

=====

4.
GGA-PBEsol BeTcBr4, optimized geometry; calculated volume = 25.8 Å³ per atom; magnetic moment = 3.8 Bohr magnetons per cell; DOS(E_F) = 7.0 states/eV/f.u.; total energy = -2.23 eV/atom
1.0
-5.9760 0.7757 0.2154
-3.6734 -4.7704 -0.3320
-3.0961 -1.7656 4.8640
Be Tc Br
1 1 4
Direct
0.0000 0.0000 0.0000
0.7500 0.7500 0.7500
0.3752 0.3752 0.3752
0.3752 0.3752 0.8745
0.8745 0.3752 0.3752
0.3752 0.8745 0.3752